# KLaCoSe3 PBE relaxed
data_KLaCoSe3
_cell_length_a 8.751
_cell_length_b 4.166
_cell_length_c 10.475
_cell_angle_alpha 90.00
_cell_angle_beta 106.60
_cell_angle_gamma 90.00
_space_group_name_H-M_alt 'P 1 21/m 1'
_space_group_IT_number 11
_space_group_name_Hall '-P 2yb'
loop_
_atom_site_label
_atom_site_type_symbol
_atom_site_fract_x
_atom_site_fract_y
_atom_site_fract_z
K1 K 0.243 0.250 0.210
La1 La 0.197 0.750 0.641
Co1 Co 0.432 0.250 0.916
Se1 Se 0.045 0.750 0.347
Se2 Se 0.303 0.750 0.952
Se3 Se 0.449 0.250 0.690
# electronic total energy	-5.1087	eV/atom